First-principles (PBE+U) data for a geometry-optimized TaCo2PdO6 structure, as listed in the Alexandria database.

```
data_TaCo2PdO6
_cell_length_a 5.173
_cell_length_b 5.294
_cell_length_c 5.501
_cell_angle_alpha 63.53
_cell_angle_beta 89.62
_cell_angle_gamma 61.39
_space_group_name_H-M_alt 'P 1'
_space_group_IT_number 1
loop_
_space_group_symop_operation_xyz
'x,y,z'
loop_
_atom_site_label
_atom_site_fract_x
_atom_site_fract_y
_atom_site_fract_z
Ta1 0.000 0.000 0.000
Co1 0.292 0.412 0.888
Co2 0.779 0.437 0.374
Pd1 0.497 0.002 0.502
O1 0.063 0.556 0.177
O2 0.237 0.865 0.743
O3 0.373 0.889 0.224
O4 0.604 0.185 0.718
O5 0.726 0.173 0.221
O6 0.914 0.460 0.723
```

As for the calculated density: 7.286 g/cm3. The total energy is -0.26162 Ha/atom.